The following is a meta-GGA SCAN calculation of a PBEsol-optimized structure of MgMn2O4, from Alexandria via LeMat-Bulk.

a b c (Å): 5.9089 5.9089 5.7662
angles (deg): 89.99 119.21 121.60
Positions (direct):
Mg (0.9971, 0.0015, 0.9985)
Mg (0.7485, 0.6258, 0.3742)
Mn (0.5005, 0.2497, 0.7502)
Mn (0.2512, 0.6250, 0.3750)
Mn (0.2512, 0.6250, 0.8762)
Mn (0.7501, 0.1238, 0.3750)
O (0.2294, 0.3853, 0.6147)
O (0.2723, 0.8638, 0.1361)
O (0.2412, 0.8381, 0.6206)
O (0.7824, 0.3794, 0.1618)
O (0.7824, 0.3794, 0.6206)
O (0.7177, 0.8707, 0.1294)
O (0.7177, 0.8706, 0.5883)
O (0.2587, 0.4116, 0.1294)

Energy above the lowest structure with this stoichiometry = 47.9 meV/atom
Uncorrected energy = -11.86 eV per atom
Formation energy from raw total energies = -1602.8 kJ/mol of formula units